(1)
4
Lattice="-1.941 -0.319 1.613 0.192 -4.412 -0.640 3.695 0.500 2.540" Properties=species:S:1:pos:R:3 comment="LiZnCu2 (SCAN, single point on PBEsol structure)" formation_energy_kj_per_mol_atoms=-10 sg="Cm (8)" density_kg_m3=6830 pbc="T T T"
Cu 1.548 -3.131 1.245
Zn 0.396 -1.054 2.274
Li -0.861 -2.406 0.494
Cu 1.742 0.179 4.138

(2)
5
Lattice="-2.594 0.457 3.241 3.177 -0.642 2.633 0.628 4.889 -2.878" Properties=species:S:1:pos:R:3 comment="PrSi2Ru2 (SCAN, single point on PBEsol structure)" raw_formation_energy_ev_per_atom=-0.95 sg="I4/mmm (139)" density_kg_m3=7783 pbc="T T T"
Si 0.670 3.496 0.043
Ru 2.048 2.077 1.346
Si 0.541 1.208 2.953
Pr 0.000 0.000 0.000
Ru -0.837 2.627 1.650

no.,calculated volume (Å³ per cell),E (eV/atom)
1,48.49,-11.67
2,85.18,-27.56